{
  "formula": "PmSiNi2",
  "functional": "PBE",
  "state": "optimized geometry",
  "total_energy_ev_per_cell": -47.7,
  "total_magnetization_mub_per_fu": 0.031,
  "lattice_angstrom": [[3.993, 0.000, 0.000], [0.000, 6.357, 0.000], [0.000, 0.000, 5.308]],
  "species": ["Pm", "Pm", "Si", "Si", "Ni", "Ni", "Ni", "Ni"],
  "fractional_positions": [[0.250, 0.250, 0.132], [0.750, 0.750, 0.868], [0.250, 0.750, 0.378], [0.750, 0.250, 0.622], [0.250, 0.053, 0.629], [0.250, 0.447, 0.629], [0.750, 0.553, 0.371], [0.750, 0.947, 0.371]]
}